# PBEsol Al2MoPt, relaxed
# **Polymorph energy (0 for the lowest one)**: 154 meV per atom
# **Spin magnetization**: 0.00 Bohr magnetons per cell
# **Raw total energy**: -28.57 eV/cell
# **Crystal system**: monoclinic
# **Calculated volume**: 15.05 Å³/atom
data_Al2MoPt
_symmetry_space_group_name_H-M 'P 1 2/m 1'
_symmetry_Int_Tables_number 10
_symmetry_space_group_name_Hall '-P 2y'
_cell_length_a 2.768
_cell_length_b 4.080
_cell_length_c 5.333
_cell_angle_alpha 90.00
_cell_angle_beta 92.34
_cell_angle_gamma 90.00
loop_
_atom_site_label
_atom_site_type_symbol
_atom_site_fract_x
_atom_site_fract_y
_atom_site_fract_z
_atom_site_occupancy
Al1 Al 0.066 0.000 0.239 1
Mo1 Mo 0.500 0.500 0.000 1
Pt1 Pt 0.000 0.500 0.500 1

# PBEsol Al2MoPt, relaxed
# **Polymorph energy (0 for the lowest one)**: 457 meV per atom
# **Spin magnetization**: 2.90 Bohr magnetons per cell
# **Raw total energy**: -109.42 eV/cell
# **Crystal system**: cubic
# **Calculated volume**: 15.03 Å³/atom
data_Al2MoPt
_symmetry_space_group_name_H-M 'F -4 3 m'
_symmetry_Int_Tables_number 216
_symmetry_space_group_name_Hall 'F -4 2 3'
_cell_length_a 6.218
_cell_length_b 6.218
_cell_length_c 6.218
_cell_angle_alpha 90.00
_cell_angle_beta 90.00
_cell_angle_gamma 90.00
loop_
_atom_site_label
_atom_site_type_symbol
_atom_site_fract_x
_atom_site_fract_y
_atom_site_fract_z
_atom_site_occupancy
Al1 Al 0.000 0.000 0.000 1
Al2 Al 0.250 0.250 0.250 1
Mo1 Mo 0.250 0.250 0.750 1
Pt1 Pt 0.000 0.000 0.500 1

# PBEsol Al2MoPt, relaxed
# **Polymorph energy (0 for the lowest one)**: 138 meV per atom
# **Spin magnetization**: 0.00 Bohr magnetons per cell
# **Raw total energy**: -57.27 eV/cell
# **Crystal system**: orthorhombic
# **Calculated volume**: 14.66 Å³/atom
data_Al2MoPt
_symmetry_space_group_name_H-M 'I m m 2'
_symmetry_Int_Tables_number 44
_symmetry_space_group_name_Hall 'I 2 -2'
_cell_length_a 3.483
_cell_length_b 3.820
_cell_length_c 8.817
_cell_angle_alpha 90.00
_cell_angle_beta 90.00
_cell_angle_gamma 90.00
loop_
_atom_site_label
_atom_site_type_symbol
_atom_site_fract_x
_atom_site_fract_y
_atom_site_fract_z
_atom_site_occupancy
Al1 Al 0.000 0.000 0.000 1
Al2 Al 0.000 0.500 0.243 1
Mo1 Mo 0.000 0.500 0.752 1
Pt1 Pt 0.000 0.000 0.503 1

# PBEsol Al2MoPt, relaxed
# **Polymorph energy (0 for the lowest one)**: 62 meV per atom
# **Spin magnetization**: 0.00 Bohr magnetons per cell
# **Raw total energy**: -28.94 eV/cell
# **Crystal system**: tetragonal
# **Calculated volume**: 14.60 Å³/atom
data_Al2MoPt
_symmetry_space_group_name_H-M 'P 4/m m m'
_symmetry_Int_Tables_number 123
_symmetry_space_group_name_Hall '-P 4 2'
_cell_length_a 2.764
_cell_length_b 2.764
_cell_length_c 7.646
_cell_angle_alpha 90.00
_cell_angle_beta 90.00
_cell_angle_gamma 90.00
loop_
_atom_site_label
_atom_site_type_symbol
_atom_site_fract_x
_atom_site_fract_y
_atom_site_fract_z
_atom_site_occupancy
Al1 Al 0.000 0.000 0.238 1
Mo1 Mo 0.500 0.500 0.500 1
Pt1 Pt 0.500 0.500 0.000 1

# PBEsol Al2MoPt, relaxed
# **Polymorph energy (0 for the lowest one)**: 87 meV per atom
# **Spin magnetization**: 0.00 Bohr magnetons per cell
# **Raw total energy**: -115.34 eV/cell
# **Crystal system**: cubic
# **Calculated volume**: 14.24 Å³/atom
data_Al2MoPt
_symmetry_space_group_name_H-M 'F m -3 m'
_symmetry_Int_Tables_number 225
_symmetry_space_group_name_Hall '-F 4 2 3'
_cell_length_a 6.108
_cell_length_b 6.108
_cell_length_c 6.108
_cell_angle_alpha 90.00
_cell_angle_beta 90.00
_cell_angle_gamma 90.00
loop_
_atom_site_label
_atom_site_type_symbol
_atom_site_fract_x
_atom_site_fract_y
_atom_site_fract_z
_atom_site_occupancy
Al1 Al 0.250 0.250 0.250 1
Mo1 Mo 0.000 0.000 0.000 1
Pt1 Pt 0.000 0.000 0.500 1

# PBEsol Al2MoPt, relaxed
# **Polymorph energy (0 for the lowest one)**: 157 meV per atom
# **Spin magnetization**: 0.00 Bohr magnetons per cell
# **Raw total energy**: -57.11 eV/cell
# **Crystal system**: orthorhombic
# **Calculated volume**: 14.64 Å³/atom
data_Al2MoPt
_symmetry_space_group_name_H-M 'A m m 2'
_symmetry_Int_Tables_number 38
_symmetry_space_group_name_Hall 'A 2 -2'
_cell_length_a 4.314
_cell_length_b 2.726
_cell_length_c 9.961
_cell_angle_alpha 90.00
_cell_angle_beta 90.00
_cell_angle_gamma 90.00
loop_
_atom_site_label
_atom_site_type_symbol
_atom_site_fract_x
_atom_site_fract_y
_atom_site_fract_z
_atom_site_occupancy
Al1 Al 0.000 0.000 0.000 1
Al2 Al 0.500 0.000 0.159 1
Mo1 Mo 0.000 0.000 0.740 1
Pt1 Pt 0.500 0.000 0.415 1

# PBEsol Al2MoPt, relaxed
# **Polymorph energy (0 for the lowest one)**: 603 meV per atom
# **Spin magnetization**: 2.70 Bohr magnetons per cell
# **Raw total energy**: -107.09 eV/cell
# **Crystal system**: tetragonal
# **Calculated volume**: 16.19 Å³/atom
data_Al2MoPt
_symmetry_space_group_name_H-M 'I -4 2 d'
_symmetry_Int_Tables_number 122
_symmetry_space_group_name_Hall 'I -4 2bw'
_cell_length_a 6.845
_cell_length_b 6.845
_cell_length_c 5.528
_cell_angle_alpha 90.00
_cell_angle_beta 90.00
_cell_angle_gamma 90.00
loop_
_atom_site_label
_atom_site_type_symbol
_atom_site_fract_x
_atom_site_fract_y
_atom_site_fract_z
_atom_site_occupancy
Al1 Al 0.227 0.250 0.125 1
Mo1 Mo 0.000 0.000 0.500 1
Pt1 Pt 0.000 0.000 0.000 1

# PBEsol AlMoPt, relaxed
# **Spin magnetization**: 2.12 Bohr magnetons per cell
# **Raw total energy**: -93.12 eV/cell
# **Crystal system**: cubic
# **Calculated volume**: 17.33 Å³/atom
data_AlMoPt
_symmetry_space_group_name_H-M 'F -4 3 m'
_symmetry_Int_Tables_number 216
_symmetry_space_group_name_Hall 'F -4 2 3'
_cell_length_a 5.925
_cell_length_b 5.925
_cell_length_c 5.925
_cell_angle_alpha 90.00
_cell_angle_beta 90.00
_cell_angle_gamma 90.00
loop_
_atom_site_label
_atom_site_type_symbol
_atom_site_fract_x
_atom_site_fract_y
_atom_site_fract_z
_atom_site_occupancy
Al1 Al 0.000 0.000 0.000 1
Mo1 Mo 0.000 0.000 0.500 1
Pt1 Pt 0.250 0.250 0.250 1

# PBEsol Al2MoPt, relaxed
# **Polymorph energy (0 for the lowest one)**: 0 meV per atom
# **Spin magnetization**: 0.00 Bohr magnetons per cell
# **Raw total energy**: -29.18 eV/cell
# **Crystal system**: tetragonal
# **Calculated volume**: 14.41 Å³/atom
data_Al2MoPt
_symmetry_space_group_name_H-M 'P 4/m m m'
_symmetry_Int_Tables_number 123
_symmetry_space_group_name_Hall '-P 4 2'
_cell_length_a 4.182
_cell_length_b 4.182
_cell_length_c 3.297
_cell_angle_alpha 90.00
_cell_angle_beta 90.00
_cell_angle_gamma 90.00
loop_
_atom_site_label
_atom_site_type_symbol
_atom_site_fract_x
_atom_site_fract_y
_atom_site_fract_z
_atom_site_occupancy
Al1 Al 0.000 0.500 0.000 1
Mo1 Mo 0.000 0.000 0.500 1
Pt1 Pt 0.500 0.500 0.500 1

# PBEsol SrAlMo2Pt, relaxed
# **Spin magnetization**: 0.00 Bohr magnetons per cell
# **Raw total energy**: -22.56 eV/cell
# **Crystal system**: tetragonal
# **Calculated volume**: 20.76 Å³/atom
data_SrAlMo2Pt
_symmetry_space_group_name_H-M 'P 4/m m m'
_symmetry_Int_Tables_number 123
_symmetry_space_group_name_Hall '-P 4 2'
_cell_length_a 4.590
_cell_length_b 4.590
_cell_length_c 4.926
_cell_angle_alpha 90.00
_cell_angle_beta 90.00
_cell_angle_gamma 90.00
loop_
_atom_site_label
_atom_site_type_symbol
_atom_site_fract_x
_atom_site_fract_y
_atom_site_fract_z
_atom_site_occupancy
Sr1 Sr 0.000 0.000 0.000 1
Al1 Al 0.000 0.000 0.500 1
Mo1 Mo 0.000 0.500 0.000 1
Pt1 Pt 0.500 0.500 0.500 1

# PBEsol AlReMo, relaxed
# **Spin magnetization**: 0.00 Bohr magnetons per cell
# **Raw total energy**: -59.75 eV/cell
# **Crystal system**: tetragonal
# **Calculated volume**: 14.59 Å³/atom
data_AlReMo
_symmetry_space_group_name_H-M 'I 4 m m'
_symmetry_Int_Tables_number 107
_symmetry_space_group_name_Hall 'I 4 -2'
_cell_length_a 3.092
_cell_length_b 3.092
_cell_length_c 9.157
_cell_angle_alpha 90.00
_cell_angle_beta 90.00
_cell_angle_gamma 90.00
loop_
_atom_site_label
_atom_site_type_symbol
_atom_site_fract_x
_atom_site_fract_y
_atom_site_fract_z
_atom_site_occupancy
Al1 Al 0.000 0.000 0.000 1
Re1 Re 0.000 0.000 0.330 1
Mo1 Mo 0.000 0.000 0.677 1

# PBEsol ZrAl2ReMo, relaxed
# **Spin magnetization**: 2.68 Bohr magnetons per cell
# **Raw total energy**: -37.14 eV/cell
# **Crystal system**: tetragonal
# **Calculated volume**: 21.37 Å³/atom
data_ZrAl2ReMo
_symmetry_space_group_name_H-M 'P 4/m m m'
_symmetry_Int_Tables_number 123
_symmetry_space_group_name_Hall '-P 4 2'
_cell_length_a 4.675
_cell_length_b 4.675
_cell_length_c 4.889
_cell_angle_alpha 90.00
_cell_angle_beta 90.00
_cell_angle_gamma 90.00
loop_
_atom_site_label
_atom_site_type_symbol
_atom_site_fract_x
_atom_site_fract_y
_atom_site_fract_z
_atom_site_occupancy
Zr1 Zr 0.000 0.000 0.000 1
Al1 Al 0.000 0.500 0.500 1
Re1 Re 0.000 0.000 0.500 1
Mo1 Mo 0.500 0.500 0.000 1

The highest spin magnetization belongs to which entry?
number 2

The highest calculated volume belongs to which entry?
ZrAl2ReMo

What is the formula in the twelfth record?
ZrAl2ReMo